Record 1
Computed, not measured: an optimized crystal structure of Pm4Dy7Tl at the PBE level of DFT.

The structure in POSCAR format:
```
Pm4Dy7Tl
1.0
3.585 0.000 0.000
-1.793 3.105 0.000
0.000 0.000 34.369
Pm Dy Tl
4 7 1
Direct
0.333 0.667 0.161
0.333 0.667 0.415
0.667 0.333 0.585
0.667 0.333 0.839
0.000 0.000 0.246
0.000 0.000 0.500
0.000 0.000 0.754
0.333 0.667 0.671
0.333 0.667 0.924
0.667 0.333 0.076
0.667 0.333 0.329
0.000 0.000 0.000
```

Output
Energy ... -4.50 eV per atom
ΔE_f ... -0.031 eV per atom
Volume ... 31.88 A^3/atom
Space-group type ... No. 164

=====

Record 2
Computed, not measured: an optimized crystal structure of PmDy12Tl6 at the PBE level of DFT.

The structure in POSCAR format:
```
PmDy12Tl6
1.0
6.994 4.038 3.743
-6.994 4.038 3.743
0.000 -8.075 3.743
Pm Dy Tl
1 12 6
Direct
0.000 0.000 0.000
0.127 0.500 0.873
0.127 0.873 0.500
0.181 0.447 0.447
0.447 0.181 0.447
0.447 0.447 0.181
0.500 0.127 0.873
0.500 0.873 0.127
0.553 0.553 0.819
0.553 0.819 0.553
0.819 0.553 0.553
0.873 0.127 0.500
0.873 0.500 0.127
0.239 0.239 0.693
0.239 0.693 0.239
0.307 0.761 0.761
0.693 0.239 0.239
0.761 0.307 0.761
0.761 0.761 0.307
```

Output
Energy ... -3.90 eV per atom
ΔE_f ... 0.003 eV per atom
Volume ... 33.38 A^3/atom
Space-group type ... No. 166

=====

Record 3
Computed, not measured: an optimized crystal structure of PmDy6Tl at the PBE level of DFT.

The structure in POSCAR format:
```
PmDy6Tl
1.0
4.909 0.000 0.000
0.000 4.909 0.000
0.000 0.000 10.095
Pm Dy Tl
1 6 1
Direct
0.000 0.000 0.000
0.000 0.500 0.256
0.000 0.500 0.744
0.500 0.000 0.256
0.500 0.000 0.744
0.500 0.500 0.000
0.500 0.500 0.500
0.000 0.000 0.500
```

Output
Energy ... -4.41 eV per atom
ΔE_f ... -0.070 eV per atom
Volume ... 30.41 A^3/atom
Space-group type ... No. 123